The following is a DFT calculation (PBE-GGA) of a relaxed structure of LiCuRh2.

The structure in POSCAR format:
```
LiCuRh2
1.0
2.6897 0.0000 0.0000
0.0000 3.8507 0.0000
0.0000 0.0000 5.2122
Li Cu Rh
1 1 2
Direct
0.0000 0.0000 0.0000
0.5000 0.5000 0.7742
0.0000 0.0000 0.5008
0.5000 0.5000 0.2767
```

Output
Space-group type: Pmm2
Formation energy (meV per atom): -23
Size of the total moment (μB per formula unit): 0.00
Raw total energy (eV/atom): -5.20